Here is an optimized crystal structure of CaSnWO6 from the Alexandria database. Energies are from PBE+U.

```
data_CaSnWO6
_cell_length_a 5.3735
_cell_length_b 5.3735
_cell_length_c 10.0521
_cell_angle_alpha 90.00
_cell_angle_beta 90.00
_cell_angle_gamma 120.00
_space_group_name_H-M_alt 'P -3 1 c'
_space_group_IT_number 163
_space_group_name_Hall '-P 3 2c'
loop_
_atom_site_label
_atom_site_type_symbol
_atom_site_fract_x
_atom_site_fract_y
_atom_site_fract_z
_atom_site_occupancy
Ca1 Ca 0.0000 0.0000 0.0000 1
Sn1 Sn 0.3333 0.6667 0.2500 1
W1 W 0.3333 0.6667 0.7500 1
O1 O 0.0182 0.3781 0.6408 1
```

* total DFT energy (no corrections): -124.72 eV per cell